Record 1
# Nd4SnTe2P

A geometry-optimized Nd4SnTe2P structure (PBE, Alexandria via LeMat-Bulk).

Unit cell a=4.4001 b=7.6533 c=7.7606 alpha=109.04 beta=90.00 gamma=90.00
Last column: nearest neighbours and their distance in Å.
Positions (direct):
1 Nd 0.5000 0.2298 0.2220  2 P 2.99, 1 Sn 3.09, 3 Te 3.20-3.30
2 Nd 0.5000 0.7702 0.7780  2 P 2.99, 1 Sn 3.09, 3 Te 3.20-3.30
3 Nd 0.0000 0.2449 0.7676  1 P 3.00, 2 Sn 3.10, 3 Te 3.18-3.28
4 Nd 0.0000 0.7551 0.2324  1 P 3.00, 2 Sn 3.10, 3 Te 3.18-3.28
5 Sn 0.5000 0.5000 0.0000  6 Nd 3.09-3.10
6 Te 0.5000 0.0000 0.5000  6 Nd 3.18-3.20
7 Te 0.0000 0.5000 0.5000  6 Nd 3.28-3.30
8 P 0.0000 0.0000 0.0000  6 Nd 2.99-3.00

Computed properties:
**Energy relative to the elements, uncorrected**: -1.33 eV per atom
**Energy**: -5.673 eV per atom
**Total moment**: 0.00 μB per formula unit

=====

Record 2
# NbPPd

A geometry-optimized NbPPd structure (PBE, Alexandria via LeMat-Bulk).

Unit cell a=5.2556 b=3.3309 c=11.1339 alpha=90.00 beta=90.75 gamma=90.00
Last column: nearest neighbours and their distance in Å.
Positions (direct):
1 Nb 0.7135 0.0000 0.9361  3 P 2.46
2 Nb 0.7135 0.5000 0.4361  3 P 2.46
3 Nb 0.2806 0.0000 0.0955  4 P 2.49-2.57
4 Nb 0.2806 0.5000 0.5955  4 P 2.49-2.57
5 P 0.4352 0.0000 0.7567  4 Pd 2.45-2.53, 3 Nb 2.46-2.57
6 P 0.4352 0.5000 0.2567  4 Pd 2.45-2.53, 3 Nb 2.46-2.57
7 P 0.9344 0.0000 0.5627  4 Nb 2.46-2.49, 3 Pd 2.50-2.54
8 P 0.9344 0.5000 0.0627  4 Nb 2.46-2.49, 3 Pd 2.50-2.54
9 Pd 0.2121 0.0000 0.3776  3 P 2.45-2.54
10 Pd 0.2121 0.5000 0.8776  3 P 2.45-2.54
11 Pd 0.7839 0.0000 0.2129  4 P 2.50-2.53
12 Pd 0.7839 0.5000 0.7129  4 P 2.50-2.53

Computed properties:
**Energy**: -7.370 eV per atom
**Total moment**: 0.00 μB per formula unit
**Energy of formation**: -479 meV per atom

=====

Record 3
# ErTm3H

A geometry-optimized ErTm3H structure (PBE, Alexandria via LeMat-Bulk).

Unit cell a=4.9087 b=4.9087 c=4.9087 alpha=90.00 beta=90.00 gamma=90.00
Last column: nearest neighbours and their distance in Å.
Positions (direct):
1 H 0.0000 0.0000 0.0000  6 Tm 2.45
2 Tm 0.0000 0.5000 0.0000  2 H 2.45
3 Tm 0.0000 0.0000 0.5000  2 H 2.45
4 Tm 0.5000 0.0000 0.0000  2 H 2.45
5 Er 0.5000 0.5000 0.5000  12 Tm 3.47

Computed properties:
**Energy**: -4.418 eV per atom
**Total moment**: 0.00 μB per formula unit

=====

Record 4
# ZnPBr2

A geometry-optimized ZnPBr2 structure (PBE, Alexandria via LeMat-Bulk).

Unit cell a=4.9426 b=4.9426 c=4.9426 alpha=60.00 beta=60.00 gamma=60.00
Last column: nearest neighbours and their distance in Å.
Positions (direct):
1 P 0.0000 0.0000 0.0000  8 Br 3.03
2 Zn 0.5000 0.5000 0.5000  8 Br 3.03
3 Br 0.2500 0.2500 0.2500  4 Zn 3.03, 4 P 3.03
4 Br 0.7500 0.7500 0.7500  4 P 3.03, 4 Zn 3.03

Computed properties:
**Energy relative to the elements, uncorrected**: 0.63 eV per atom
**Energy**: -1.879 eV per atom
**Energy above the most stable polymorph in this dataset**: 895 meV/atom
**Total moment**: 0.50 μB per formula unit